VASP calculation (PBE) on crystalline HgOs2Rh at its relaxed geometry.

Calculated values
energy of formation: 652 meV per atom
crystal system: tetragonal
DOS(E_F): 5.65 states/eV/cell

abc: 2.7753 2.7753 8.2121
angles: 90.00 90.00 90.00
Last column: nearest neighbours and their distance in Å.
Positions (direct):
Os (0.0000, 0.0000, 0.2260)  4 Rh 2.70, 4 Os 2.78, 4 Hg 2.99
Rh (0.5000, 0.5000, 0.0000)  8 Os 2.70, 4 Rh 2.78
Os (0.0000, 0.0000, 0.7740)  4 Rh 2.70, 4 Os 2.78, 4 Hg 2.99
Hg (0.5000, 0.5000, 0.5000)  4 Hg 2.78, 8 Os 2.99